No. 1
# MgInTeN2

An optimized crystal structure of MgInTeN2 (PBE, Alexandria).

Cell lengths 4.316, 4.316, 5.939 Å; angles 90.00, 90.00, 90.00 degrees
Last column: magnetic moment on the atom in μB.
Fractional coordinates of all 5 atoms:
In (0.500, 0.500, 0.500)  0.01
Mg (0.000, 0.000, 0.000)  -0.02
N (0.500, 0.000, 0.000)  1.24
N (0.000, 0.500, 0.000)  1.24
Te (0.000, 0.000, 0.500)  0.11

Calculated values
Formation energy from raw total energies   1.061 eV/atom
Energy above the most stable polymorph in this dataset   0.000 eV per atom
Total energy   -3.7645 eV per atom
Total magnetic moment   3.96 μB/f.u.


No. 2
# MgTi2InN

An optimized crystal structure of MgTi2InN (PBE, Alexandria).

Cell lengths 4.191, 4.191, 4.366 Å; angles 90.00, 90.00, 90.00 degrees
Fractional coordinates of all 5 atoms:
Ti (0.500, 0.000, 0.000)
N (0.000, 0.000, 0.000)
In (0.500, 0.500, 0.500)
Mg (0.000, 0.000, 0.500)
Ti (0.000, 0.500, 0.000)

Calculated values
Formation energy from raw total energies   -0.676 eV/atom
Total energy   -6.3655 eV per atom
Total magnetic moment   0.00 μB/f.u.


No. 3
# Mg3UIn2N6

An optimized crystal structure of Mg3UIn2N6 (PBE, Alexandria).

Cell lengths 5.624, 5.624, 5.617 Å; angles 99.42, 99.42, 120.20 degrees
Fractional coordinates of all 12 atoms:
In (0.333, 0.667, 0.000)
Mg (0.828, 0.172, 0.500)
Mg (0.172, 0.828, 0.500)
N (0.596, 0.916, 0.747)
N (0.766, 0.766, 0.245)
N (0.404, 0.084, 0.253)
In (0.667, 0.333, 0.000)
N (0.234, 0.234, 0.755)
N (0.084, 0.404, 0.253)
U (0.000, 0.000, 0.000)
N (0.916, 0.596, 0.747)
Mg (0.500, 0.500, 0.500)

Calculated values
Formation energy from raw total energies   -0.625 eV/atom
Total energy   -6.5830 eV per atom
Total magnetic moment   0.00 μB/f.u.


No. 4
# Mg2InWN4

An optimized crystal structure of Mg2InWN4 (PBE, Alexandria).

Cell lengths 5.038, 5.038, 5.724 Å; angles 115.63, 115.63, 90.98 degrees
Fractional coordinates of all 8 atoms:
N (0.158, 0.158, 0.755)
W (0.500, 0.500, 0.999)
N (0.405, 0.836, 0.241)
Mg (0.250, 0.750, 0.500)
In (0.004, 0.004, 0.009)
Mg (0.750, 0.250, 0.500)
N (0.836, 0.405, 0.241)
N (0.598, 0.598, 0.755)

Calculated values
Formation energy from raw total energies   -0.510 eV/atom
Total energy   -7.0331 eV per atom
Total magnetic moment   0.00 μB/f.u.


No. 5
# YMg2InN

An optimized crystal structure of YMg2InN (PBE, Alexandria).

Cell lengths 4.484, 4.484, 4.749 Å; angles 90.00, 90.00, 90.00 degrees
Fractional coordinates of all 5 atoms:
N (0.000, 0.000, 0.000)
Mg (0.000, 0.500, 0.000)
Y (0.000, 0.000, 0.500)
Mg (0.500, 0.000, 0.000)
In (0.500, 0.500, 0.500)

Calculated values
Formation energy from raw total energies   -0.603 eV/atom
Total energy   -4.7462 eV per atom
Total magnetic moment   0.00 μB/f.u.


No. 6
# Y2MgInN

An optimized crystal structure of Y2MgInN (PBE, Alexandria).

Cell lengths 4.851, 4.851, 4.403 Å; angles 90.00, 90.00, 90.00 degrees
Fractional coordinates of all 5 atoms:
Y (0.500, 0.000, 0.000)
N (0.000, 0.000, 0.000)
Y (0.000, 0.500, 0.000)
In (0.500, 0.500, 0.500)
Mg (0.000, 0.000, 0.500)

Calculated values
Formation energy from raw total energies   -0.857 eV/atom
Total energy   -5.9745 eV per atom
Total magnetic moment   0.00 μB/f.u.


No. 7
# Mg2ZnInN

An optimized crystal structure of Mg2ZnInN (PBE, Alexandria).

Cell lengths 5.735, 4.035, 5.735 Å; angles 90.00, 90.00, 90.00 degrees
Fractional coordinates of all 5 atoms:
Mg (0.500, 0.000, 0.000)
Zn (0.500, 0.500, 0.500)
Mg (0.000, 0.000, 0.500)
In (0.000, 0.000, 0.000)
N (0.000, 0.500, 0.000)

Calculated values
Formation energy from raw total energies   0.912 eV/atom
Total energy   -2.1934 eV per atom
Total magnetic moment   0.00 μB/f.u.


No. 8
# NaMg3In4

An optimized crystal structure of NaMg3In4 (PBE, Alexandria).

Cell lengths 5.365, 6.820, 10.568 Å; angles 90.00, 90.00, 90.00 degrees
Fractional coordinates of all 16 atoms:
In (0.888, 0.755, 0.250)
In (0.888, 0.245, 0.250)
In (0.500, 0.757, 0.000)
Mg (0.606, 0.500, 0.750)
In (0.500, 0.243, 0.000)
In (0.112, 0.755, 0.750)
In (0.112, 0.245, 0.750)
Mg (0.372, 0.000, 0.250)
Na (0.000, 0.500, 0.500)
Mg (0.394, 0.500, 0.250)
Na (0.000, 0.500, 0.000)
In (0.500, 0.757, 0.500)
Mg (0.628, 0.000, 0.750)
Mg (0.000, 0.000, 0.500)
In (0.500, 0.243, 0.500)
Mg (0.000, 0.000, 0.000)

Calculated values
Total energy   -2.2145 eV per atom
Energy of formation   -0.082 eV/atom
Total magnetic moment   0.00 μB/f.u.


No. 9
# NaMg6In12

An optimized crystal structure of NaMg6In12 (PBE, Alexandria).

Cell lengths 8.584, 8.584, 8.584 Å; angles 109.47, 109.47, 109.47 degrees
Fractional coordinates of all 19 atoms:
Mg (0.846, 0.346, 0.500)
Mg (0.500, 0.846, 0.346)
In (0.175, 0.736, 0.910)
In (0.264, 0.090, 0.825)
Mg (0.500, 0.154, 0.654)
In (0.736, 0.561, 0.825)
Na (0.000, 0.000, 0.000)
Mg (0.346, 0.500, 0.846)
In (0.825, 0.736, 0.561)
In (0.561, 0.825, 0.736)
Mg (0.654, 0.500, 0.154)
In (0.264, 0.439, 0.175)
In (0.910, 0.175, 0.736)
In (0.825, 0.264, 0.090)
In (0.175, 0.264, 0.439)
Mg (0.154, 0.654, 0.500)
In (0.439, 0.175, 0.264)
In (0.090, 0.825, 0.264)
In (0.736, 0.910, 0.175)

Calculated values
Energy above the most stable polymorph in this dataset   0.057 eV per atom
Total energy   -2.3093 eV per atom
Energy of formation   -0.007 eV/atom
Total magnetic moment   0.00 μB/f.u.


No. 10
# Na2Mg2In7

An optimized crystal structure of Na2Mg2In7 (PBE, Alexandria).

Cell lengths 5.011, 7.886, 7.886 Å; angles 84.15, 78.63, 78.63 degrees
Fractional coordinates of all 11 atoms:
In (0.212, 0.568, 0.568)
In (0.217, 0.607, 0.961)
In (0.788, 0.432, 0.432)
In (0.000, 0.000, 0.000)
Mg (0.296, 0.228, 0.228)
Na (0.500, 0.784, 0.216)
In (0.783, 0.039, 0.393)
In (0.217, 0.961, 0.607)
In (0.783, 0.393, 0.039)
Mg (0.704, 0.772, 0.772)
Na (0.500, 0.216, 0.784)

Calculated values
Total energy   -2.2955 eV per atom
Energy of formation   -0.023 eV/atom
Total magnetic moment   0.00 μB/f.u.


No. 11
# NaMg2In

An optimized crystal structure of NaMg2In (PBE, Alexandria).

Cell lengths 3.251, 3.251, 11.722 Å; angles 82.03, 82.03, 60.00 degrees
Fractional coordinates of all 4 atoms:
Mg (0.908, 0.908, 0.275)
Na (0.000, 0.000, 0.000)
In (0.500, 0.500, 0.500)
Mg (0.092, 0.092, 0.725)

Calculated values
Total energy   -1.7425 eV per atom
Energy of formation   0.069 eV/atom
Total magnetic moment   0.00 μB/f.u.


No. 12
# NaMg7In4

An optimized crystal structure of NaMg7In4 (PBE, Alexandria).

Cell lengths 5.342, 9.198, 7.106 Å; angles 85.17, 67.92, 73.12 degrees
Fractional coordinates of all 12 atoms:
Mg (0.921, 0.353, 0.806)
In (0.708, 0.679, 0.905)
In (0.429, 0.779, 0.363)
Na (0.000, 0.000, 0.000)
Mg (0.647, 0.426, 0.280)
Mg (0.218, 0.113, 0.451)
In (0.571, 0.221, 0.637)
Mg (0.782, 0.887, 0.549)
Mg (0.079, 0.647, 0.194)
Mg (0.500, 0.000, 0.000)
Mg (0.353, 0.574, 0.720)
In (0.292, 0.321, 0.095)

Calculated values
Total energy   -1.9140 eV per atom
Energy of formation   0.039 eV/atom
Total magnetic moment   0.00 μB/f.u.


No. 13
# NaMgIn4

An optimized crystal structure of NaMgIn4 (PBE, Alexandria).

Cell lengths 6.155, 6.155, 6.155 Å; angles 60.00, 60.00, 60.00 degrees
Fractional coordinates of all 6 atoms:
Mg (0.250, 0.250, 0.250)
In (0.625, 0.625, 0.625)
In (0.625, 0.625, 0.125)
In (0.625, 0.125, 0.625)
In (0.125, 0.625, 0.625)
Na (0.000, 0.000, 0.000)

Calculated values
Energy above the most stable polymorph in this dataset   0.045 eV per atom
Total energy   -2.3237 eV per atom
Energy of formation   -0.012 eV/atom
Total magnetic moment   0.00 μB/f.u.


No. 14
# NaMg2In

An optimized crystal structure of NaMg2In (PBE, Alexandria).

Cell lengths 5.154, 5.154, 5.164 Å; angles 60.07, 60.07, 60.00 degrees
Fractional coordinates of all 4 atoms:
Mg (0.250, 0.250, 0.249)
Na (0.500, 0.500, 0.501)
Mg (0.000, 0.000, 0.999)
In (0.750, 0.750, 0.751)

Calculated values
Total energy   -1.8347 eV per atom
Energy of formation   -0.023 eV/atom
Total magnetic moment   0.00 μB/f.u.


No. 15
# NaMgIn

An optimized crystal structure of NaMgIn (PBE, Alexandria).

Cell lengths 5.059, 5.059, 5.059 Å; angles 60.00, 60.00, 60.00 degrees
Fractional coordinates of all 3 atoms:
Mg (0.000, 0.000, 0.000)
Na (0.500, 0.500, 0.500)
In (0.250, 0.250, 0.250)

Calculated values
Energy above the most stable polymorph in this dataset   0.161 eV per atom
Total energy   -1.7810 eV per atom
Energy of formation   0.103 eV/atom
Total magnetic moment   0.00 μB/f.u.


No. 16
# Na2MgIn7

An optimized crystal structure of Na2MgIn7 (PBE, Alexandria).

Cell lengths 7.918, 7.918, 7.918 Å; angles 60.00, 60.00, 60.00 degrees
Fractional coordinates of all 10 atoms:
In (0.246, 0.754, 0.246)
Na (0.250, 0.250, 0.250)
In (0.754, 0.246, 0.754)
Na (0.750, 0.750, 0.750)
In (0.754, 0.754, 0.246)
In (0.754, 0.246, 0.246)
In (0.246, 0.246, 0.754)
In (0.246, 0.754, 0.754)
Mg (0.000, 0.000, 0.000)
In (0.500, 0.500, 0.500)

Calculated values
Total energy   -2.1151 eV per atom
Energy of formation   0.225 eV/atom
Total magnetic moment   0.00 μB/f.u.


No. 17
# Na2Mg2In

An optimized crystal structure of Na2Mg2In (PBE, Alexandria).

Cell lengths 7.454, 7.454, 5.347 Å; angles 90.00, 90.00, 90.00 degrees
Fractional coordinates of all 10 atoms:
In (0.000, 0.000, 0.000)
Na (0.327, 0.173, 0.500)
In (0.500, 0.500, 0.000)
Na (0.827, 0.327, 0.500)
Na (0.173, 0.673, 0.500)
Mg (0.357, 0.857, 0.000)
Na (0.673, 0.827, 0.500)
Mg (0.643, 0.143, 0.000)
Mg (0.143, 0.357, 0.000)
Mg (0.857, 0.643, 0.000)

Calculated values
Energy above the most stable polymorph in this dataset   0.000 eV per atom
Total energy   -1.6434 eV per atom
Energy of formation   0.070 eV/atom
Total magnetic moment   0.00 μB/f.u.


No. 18
# NaMg2In

An optimized crystal structure of NaMg2In (PBE, Alexandria).

Cell lengths 3.838, 3.838, 6.836 Å; angles 90.00, 90.00, 90.00 degrees
Fractional coordinates of all 4 atoms:
In (0.500, 0.500, 0.000)
Mg (0.000, 0.000, 0.765)
Mg (0.000, 0.000, 0.235)
Na (0.500, 0.500, 0.500)

Calculated values
Total energy   -1.8085 eV per atom
Energy of formation   0.003 eV/atom
Total magnetic moment   0.00 μB/f.u.


No. 19
# NaMg2In3

An optimized crystal structure of NaMg2In3 (PBE, Alexandria).

Cell lengths 6.111, 7.312, 7.312 Å; angles 93.39, 90.00, 90.00 degrees
Fractional coordinates of all 12 atoms:
In (0.250, 0.980, 0.980)
In (0.250, 0.570, 0.901)
In (0.750, 0.020, 0.020)
Mg (0.500, 0.247, 0.753)
Na (0.750, 0.690, 0.690)
Mg (0.500, 0.753, 0.247)
Na (0.250, 0.310, 0.310)
Mg (0.000, 0.247, 0.753)
In (0.750, 0.099, 0.430)
Mg (0.000, 0.753, 0.247)
In (0.250, 0.901, 0.570)
In (0.750, 0.430, 0.099)

Calculated values
Energy above the most stable polymorph in this dataset   0.065 eV per atom
Total energy   -2.1668 eV per atom
Energy of formation   -0.046 eV/atom
Total magnetic moment   0.00 μB/f.u.


No. 20
# NaMg6In6

An optimized crystal structure of NaMg6In6 (PBE, Alexandria).

Cell lengths 6.122, 7.890, 7.890 Å; angles 78.11, 67.17, 67.17 degrees
Fractional coordinates of all 13 atoms:
Mg (0.500, 0.000, 0.500)
Mg (0.500, 0.500, 0.000)
In (0.342, 0.658, 0.658)
In (0.000, 0.655, 0.345)
Mg (0.500, 0.762, 0.238)
Na (0.000, 0.000, 0.000)
Mg (0.500, 0.238, 0.762)
In (0.679, 0.821, 0.821)
In (0.321, 0.179, 0.179)
In (0.000, 0.345, 0.655)
In (0.658, 0.342, 0.342)
Mg (0.000, 0.000, 0.500)
Mg (0.000, 0.500, 0.000)

Calculated values
Total energy   -2.1690 eV per atom
Energy of formation   -0.068 eV/atom
Total magnetic moment   0.00 μB/f.u.


No. 21
# Na2MgIn

An optimized crystal structure of Na2MgIn (PBE, Alexandria).

Cell lengths 8.818, 8.818, 6.946 Å; angles 50.60, 50.60, 90.00 degrees
Fractional coordinates of all 8 atoms:
Na (0.631, 0.125, 0.250)
Na (0.119, 0.625, 0.250)
Mg (0.250, 0.750, 0.500)
In (0.750, 0.250, 0.500)
Na (0.875, 0.881, 0.750)
Mg (0.500, 0.500, 0.000)
Na (0.375, 0.369, 0.750)
In (0.000, 0.000, 0.000)

Calculated values
Total energy   -1.6057 eV per atom
Energy of formation   0.137 eV/atom
Total magnetic moment   0.00 μB/f.u.


No. 22
# Na3MgIn

An optimized crystal structure of Na3MgIn (PBE, Alexandria).

Cell lengths 3.257, 5.698, 9.359 Å; angles 107.72, 90.00, 90.00 degrees
Fractional coordinates of all 5 atoms:
Na (0.500, 0.360, 0.213)
Na (0.000, 0.778, 0.555)
Na (0.500, 0.854, 0.213)
In (0.000, 0.440, 0.879)
Mg (0.500, 0.941, 0.883)

Calculated values
Energy above the most stable polymorph in this dataset   0.000 eV per atom
Total energy   -1.5153 eV per atom
Energy of formation   0.143 eV/atom
Total magnetic moment   0.00 μB/f.u.


No. 23
# Na2Mg3In4

An optimized crystal structure of Na2Mg3In4 (PBE, Alexandria).

Cell lengths 6.408, 8.251, 9.670 Å; angles 90.00, 109.35, 90.00 degrees
Fractional coordinates of all 18 atoms:
Mg (0.500, 0.500, 0.000)
Na (0.909, 0.388, 0.818)
In (0.333, 0.486, 0.667)
In (0.167, 0.986, 0.333)
Mg (0.006, 0.750, 0.513)
In (0.667, 0.514, 0.333)
Na (0.091, 0.612, 0.182)
Na (0.591, 0.888, 0.182)
In (0.833, 0.014, 0.667)
In (0.675, 0.750, 0.849)
Mg (0.494, 0.250, 0.487)
Mg (0.994, 0.250, 0.487)
Mg (0.000, 0.000, 0.000)
In (0.825, 0.250, 0.151)
Na (0.409, 0.112, 0.818)
In (0.175, 0.750, 0.849)
Mg (0.506, 0.750, 0.513)
In (0.325, 0.250, 0.151)

Calculated values
Energy above the most stable polymorph in this dataset   0.009 eV per atom
Total energy   -2.1039 eV per atom
Energy of formation   -0.062 eV/atom
Total magnetic moment   0.00 μB/f.u.


No. 24
# Na3Mg3In5

An optimized crystal structure of Na3Mg3In5 (PBE, Alexandria).

Cell lengths 5.493, 8.575, 8.123 Å; angles 126.05, 115.31, 76.45 degrees
Fractional coordinates of all 11 atoms:
Mg (0.533, 0.719, 0.994)
In (0.889, 0.639, 0.732)
In (0.165, 0.817, 0.264)
Mg (0.747, 0.195, 0.355)
Na (0.255, 0.538, 0.457)
In (0.142, 0.068, 0.078)
In (0.348, 0.260, 0.633)
Mg (0.508, 0.022, 0.849)
Na (0.823, 0.910, 0.540)
Na (0.980, 0.363, 0.911)
In (0.610, 0.469, 0.187)

Calculated values
Total energy   -2.1041 eV per atom
Energy of formation   -0.065 eV/atom
Total magnetic moment   0.00 μB/f.u.